# GGA-PBE Tm2NbN3, optimized geometry
data_Tm2NbN3
_chemical_formula_sum 'Tm4 Nb2 N6'
_cell_length_a 3.302
_cell_length_b 3.302
_cell_length_c 13.999
_cell_angle_alpha 90.00
_cell_angle_beta 90.00
_cell_angle_gamma 90.00
_symmetry_space_group_name_H-M 'I 4/m m m'
_symmetry_Int_Tables_number 139
_symmetry_space_group_name_Hall '-I 4 2'
loop_
_atom_site_label
_atom_site_type_symbol
_atom_site_fract_x
_atom_site_fract_y
_atom_site_fract_z
Tm1 Tm 0.000 0.000 0.164
Nb1 Nb 0.000 0.000 0.500
N1 N 0.000 0.000 0.000
N2 N 0.000 0.000 0.339
# **Raw formation energy**: -1.494 eV/atom
# **E**: -8.83 eV/atom
# **Mass density**: 10.29 g/cm³